NaRuRh PBE relaxed; spin magnetization = 0.0 μB per cell; relative energy among the computed polymorphs = 103 meV per atom; E = -5.586 eV/atom; SG = C2/m (12)
1.0
-6.814 -3.187 7.931
-3.186 -4.335 2.096
5.446 1.368 -1.347
Rh Ru Na
2 2 2
direct
0.896 0.902 0.098 Rh
0.104 0.098 0.902 Rh
0.403 0.389 0.611 Ru
0.597 0.611 0.389 Ru
0.246 0.250 0.750 Na
0.754 0.750 0.250 Na